1.
This record from the Alexandria database describes a relaxed structure of Nd6SnHg. The functional is PBE.

The structure in POSCAR format:
```
Nd6SnHg
1.0
-1.839 4.608 -0.028
-2.819 -1.148 -3.918
-7.248 -2.856 6.052
Nd Sn Hg
6 1 1
Direct
0.500 0.500 0.000 Nd
0.500 0.500 0.500 Nd
0.500 0.000 0.252 Nd
0.500 0.000 0.748 Nd
0.000 0.500 0.252 Nd
0.000 0.500 0.748 Nd
0.000 0.000 0.500 Sn
0.000 0.000 0.000 Hg
```

2.
This record from the Alexandria database describes a relaxed structure of La2Tb3Sm2. The functional is PBE.

The structure in POSCAR format:
```
La2Tb3Sm2
1.0
-0.665 -3.468 0.283
3.955 -1.382 -7.640
5.160 1.422 7.366
La Tb Sm
2 3 2
Direct
0.567 0.913 0.133 La
0.433 0.087 0.867 La
0.000 0.500 0.000 Tb
0.212 0.801 0.425 Tb
0.788 0.199 0.575 Tb
0.848 0.660 0.697 Sm
0.152 0.340 0.303 Sm
```

3.
This record from the Alexandria database describes a relaxed structure of Sm4ThZn. The functional is PBE.

The structure in POSCAR format:
```
Sm4ThZn
1.0
-0.168 2.555 -2.588
-2.539 -1.937 -1.748
-9.880 6.542 7.099
Sm Th Zn
4 1 1
Direct
0.500 0.500 0.175 Sm
0.000 0.000 0.629 Sm
0.000 0.000 0.371 Sm
0.500 0.500 0.825 Sm
0.000 0.000 0.000 Th
0.500 0.500 0.500 Zn
```

4.
This record from the Alexandria database describes a relaxed structure of YMgRh3. The functional is PBE.

The structure in POSCAR format:
```
YMgRh3
1.0
-3.203 0.693 3.171
-1.407 -4.312 -0.479
2.925 -1.315 3.242
Y Mg Rh
1 1 3
Direct
0.500 0.500 0.500 Y
0.000 0.000 0.000 Mg
0.000 0.500 0.000 Rh
0.000 0.000 0.500 Rh
0.500 0.000 0.000 Rh
```

5.
This record from the Alexandria database describes a relaxed structure of ScBN2F. The functional is PBE.

The structure in POSCAR format:
```
ScBN2F
1.0
-1.699 0.587 -3.946
-2.962 -3.060 0.819
-2.455 2.770 1.469
Sc B N F
1 1 2 1
Direct
0.000 0.000 0.000 Sc
0.500 0.500 0.500 B
0.000 0.500 0.000 N
0.500 0.000 0.000 N
0.000 0.000 0.500 F
```

Summary:
uncorrected formation energy: 0.71 eV per atom

6.
This record from the Alexandria database describes a relaxed structure of TmSc3Al. The functional is PBE.

The structure in POSCAR format:
```
TmSc3Al
1.0
-3.801 3.706 0.531
-2.707 -3.416 4.473
5.455 5.179 2.896
Tm Sc Al
2 6 2
Direct
0.750 0.578 0.157 Tm
0.250 0.422 0.843 Tm
0.750 0.586 0.649 Sc
0.750 0.064 0.649 Sc
0.250 0.936 0.351 Sc
0.250 0.414 0.351 Sc
0.000 0.000 0.000 Sc
0.500 0.000 0.000 Sc
0.750 0.167 0.335 Al
0.250 0.833 0.665 Al
```

7.
This record from the Alexandria database describes a relaxed structure of AlTcPb2. The functional is PBE.

The structure in POSCAR format:
```
AlTcPb2
1.0
3.521 0.000 0.000
0.000 3.382 -0.115
0.000 2.523 7.365
Pb Tc Al
2 1 1
Direct
0.000 0.920 0.032 Pb
0.000 0.580 0.468 Pb
0.500 0.250 0.250 Tc
0.500 0.750 0.750 Al
```

8.
This record from the Alexandria database describes a relaxed structure of Pr5HSe4. The functional is PBE.

The structure in POSCAR format:
```
Pr5HSe4
1.0
-0.261 -3.900 -1.609
1.427 -1.599 3.644
-14.345 1.646 3.890
Pr H Se
5 1 4
Direct
0.091 0.091 0.182 Pr
0.500 0.500 0.000 Pr
0.909 0.909 0.818 Pr
0.301 0.301 0.603 Pr
0.699 0.699 0.397 Pr
0.000 0.000 0.000 H
0.401 0.401 0.802 Se
0.803 0.803 0.606 Se
0.197 0.197 0.394 Se
0.599 0.599 0.198 Se
```

9.
This record from the Alexandria database describes a relaxed structure of HfTiZnAu. The functional is PBE.

The structure in POSCAR format:
```
HfTiZnAu
1.0
-0.578 -2.760 0.748
3.329 -0.333 -4.346
3.921 -0.007 3.004
Hf Ti Zn Au
1 1 1 1
Direct
0.935 0.870 0.000 Hf
0.208 0.415 0.000 Ti
0.072 0.144 0.500 Zn
0.798 0.595 0.500 Au
```

10.
This record from the Alexandria database describes a relaxed structure of EuDyAu2. The functional is PBE.

The structure in POSCAR format:
```
EuDyAu2
1.0
-2.947 -0.044 -2.173
1.668 -2.393 -2.214
-2.812 -5.595 3.929
Eu Au Dy
1 2 1
Direct
0.500 0.500 0.500 Eu
0.000 0.000 0.780 Au
0.000 0.000 0.220 Au
0.500 0.500 0.000 Dy
```

11.
This record from the Alexandria database describes a relaxed structure of Nb2AlW6. The functional is PBE.

The structure in POSCAR format:
```
Nb2AlW6
1.0
-4.359 0.910 1.020
-0.878 1.398 -5.008
1.141 -7.040 0.948
Nb Al W
2 1 6
Direct
0.889 0.344 0.777 Nb
0.111 0.656 0.223 Nb
0.000 0.000 0.000 Al
0.665 0.002 0.330 W
0.335 0.998 0.670 W
0.225 0.330 0.450 W
0.557 0.333 0.113 W
0.443 0.667 0.887 W
0.775 0.670 0.550 W
```

12.
This record from the Alexandria database describes a relaxed structure of Ba4HoSn3O12. The functional is PBE.

The structure in POSCAR format:
```
Ba4HoSn3O12
1.0
7.363 0.000 0.000
-2.454 6.942 0.000
-2.454 -3.471 6.012
Ba Ho Sn O
4 1 3 12
Direct
0.500 0.500 0.500 Ba
0.000 0.000 0.500 Ba
0.500 0.000 0.000 Ba
0.000 0.500 0.000 Ba
0.000 0.000 0.000 Ho
0.500 0.000 0.500 Sn
0.500 0.500 0.000 Sn
0.000 0.500 0.500 Sn
0.250 0.500 0.750 O
0.739 0.000 0.739 O
0.261 0.000 0.261 O
0.750 0.500 0.250 O
0.739 0.739 0.000 O
0.261 0.261 0.000 O
0.750 0.250 0.500 O
0.250 0.750 0.500 O
0.500 0.250 0.750 O
0.000 0.739 0.739 O
0.500 0.750 0.250 O
0.000 0.261 0.261 O
```

Summary:
uncorrected formation energy: -2.35 eV per atom

These records have total DFT energy (no corrections) values of -35.4 -32.3 -28.1 -29.3 -28.0 -54.8 -19.3 -56.1 -22.0 -24.7 -101.6 -130.8 eV per cell, in the order they appear.
These records have volume values of 30.36 34.41 30.51 18.97 14.97 24.76 22.18 26.19 19.05 24.78 16.46 15.36 A^3/atom, in the order they appear.